No. 1
Density functional theory data (PBE) for crystalline Pa2GeC at its relaxed geometry.

a = 3.341 Å, b = 3.341 Å, c = 8.228 Å
α = 78.29°, β = 78.29°, γ = 60.00°
Positions (direct):
Pa  0.101  0.101  0.698
Pa  0.232  0.232  0.303
C  0.501  0.501  0.498
Ge  0.666  0.666  0.002

Results
**Energy relative to the lowest polymorph listed for this composition**: 0.232 eV/atom
**Symmetry**: R3m, No. 160

***

No. 2
Density functional theory data (PBE) for crystalline AcPrCI at its relaxed geometry.

a = 3.982 Å, b = 3.985 Å, c = 8.488 Å
α = 89.99°, β = 103.59°, γ = 119.97°
Positions (direct):
C  0.312  0.554  0.881
Ac  0.520  0.158  0.693
Pr  0.087  0.942  0.045
I  0.959  0.378  0.351

Results
**Symmetry**: R3m, No. 160
**Formation energy without anion corrections**: -608 meV per atom

***

No. 3
Density functional theory data (PBE) for crystalline Li2LaAg2Sn2 at its relaxed geometry.

a = 4.703 Å, b = 4.703 Å, c = 8.632 Å
α = 74.19°, β = 74.19°, γ = 60.00°
Positions (direct):
Li  0.860  0.860  0.420
Li  0.140  0.140  0.580
Ag  0.562  0.562  0.314
Ag  0.438  0.438  0.686
Sn  0.744  0.744  0.768
Sn  0.256  0.256  0.232
La  0.000  0.000  0.000

Results
**Energy**: -3.654 eV/atom
**Symmetry**: R-3m, No. 166

***

No. 4
Density functional theory data (PBE) for crystalline BaY2Tc at its relaxed geometry.

a = 6.453 Å, b = 6.453 Å, c = 3.415 Å
α = 75.84°, β = 75.84°, γ = 116.73°
Positions (direct):
Ba  0.500  0.000  0.500
Y  0.500  0.500  0.000
Y  0.000  0.000  0.000
Tc  0.000  0.500  0.500

Results
**Energy relative to the lowest polymorph listed for this composition**: 0.633 eV/atom
**Symmetry**: C2/m, No. 12

***

No. 5
Density functional theory data (PBE) for crystalline AcTl4Pd2 at its relaxed geometry.

a = 4.816 Å, b = 7.579 Å, c = 19.340 Å
α = 90.00°, β = 90.00°, γ = 90.00°
Positions (direct):
Tl  0.750  0.335  0.316
Tl  0.250  0.239  0.193
Tl  0.750  0.657  0.967
Tl  0.250  0.835  0.184
Tl  0.250  0.343  0.033
Tl  0.250  0.510  0.429
Tl  0.250  0.157  0.533
Tl  0.750  0.739  0.307
Tl  0.750  0.761  0.807
Tl  0.250  0.990  0.929
Tl  0.750  0.843  0.467
Tl  0.250  0.665  0.684
Tl  0.250  0.261  0.693
Tl  0.750  0.010  0.071
Tl  0.750  0.165  0.816
Tl  0.750  0.490  0.571
Pd  0.250  0.735  0.041
Pd  0.750  0.235  0.459
Pd  0.750  0.458  0.720
Pd  0.250  0.958  0.780
Pd  0.250  0.765  0.541
Pd  0.750  0.042  0.220
Pd  0.250  0.542  0.280
Pd  0.750  0.265  0.959
Ac  0.250  0.031  0.359
Ac  0.250  0.469  0.859
Ac  0.750  0.531  0.141
Ac  0.750  0.969  0.641

Results
**Energy relative to the lowest polymorph listed for this composition**: 0.000 eV/atom
**Symmetry**: Pnma, No. 62

***

No. 6
Density functional theory data (PBE) for crystalline ZnCu3Ge at its relaxed geometry.

a = 6.909 Å, b = 6.909 Å, c = 6.909 Å
α = 44.00°, β = 44.00°, γ = 44.00°
Positions (direct):
Zn  0.389  0.389  0.389
Zn  0.611  0.611  0.611
Cu  0.613  0.106  0.106
Cu  0.106  0.106  0.613
Cu  0.894  0.894  0.387
Cu  0.894  0.387  0.894
Cu  0.106  0.613  0.106
Cu  0.387  0.894  0.894
Ge  0.831  0.831  0.831
Ge  0.169  0.169  0.169

Results
**Energy relative to the lowest polymorph listed for this composition**: 0.000 eV/atom
**Symmetry**: R-3m, No. 166

***

No. 7
Density functional theory data (PBE) for crystalline SrTbSi2Pt5 at its relaxed geometry.

a = 4.136 Å, b = 4.136 Å, c = 11.240 Å
α = 90.00°, β = 90.00°, γ = 90.00°
Positions (direct):
Pt  0.500  0.500  0.500
Pt  0.000  0.500  0.187
Pt  0.500  0.000  0.813
Pt  0.500  0.000  0.187
Pt  0.000  0.500  0.813
Tb  0.000  0.000  0.000
Si  0.500  0.500  0.709
Si  0.500  0.500  0.291
Sr  0.000  0.000  0.500

Results
**Symmetry**: P4/mmm, No. 123
**Formation energy without anion corrections**: -900 meV per atom

***

No. 8
Density functional theory data (PBE) for crystalline AgHPd3 at its relaxed geometry.

a = 4.731 Å, b = 4.731 Å, c = 10.345 Å
α = 76.78°, β = 76.78°, γ = 90.00°
Positions (direct):
Pd  0.126  0.879  0.749
Pd  0.361  0.361  0.277
Pd  0.126  0.372  0.749
Pd  0.639  0.639  0.723
Pd  0.121  0.874  0.251
Pd  0.628  0.874  0.251
Ag  0.000  0.000  0.000
Ag  0.250  0.750  0.500
H  0.868  0.368  0.263
H  0.632  0.132  0.737

Results
**Energy relative to the lowest polymorph listed for this composition**: 0.934 eV/atom
**Symmetry**: I-4m2, No. 119

***

No. 9
Density functional theory data (PBE) for crystalline LiVCrMo2 at its relaxed geometry.

a = 4.519 Å, b = 4.337 Å, c = 4.519 Å
α = 90.00°, β = 90.00°, γ = 90.00°
Positions (direct):
Cr  0.000  0.000  0.000
Mo  0.000  0.000  0.500
Mo  0.500  0.000  0.000
Li  0.500  0.500  0.500
V  0.000  0.500  0.000

Results
**Energy**: -7.348 eV/atom
**Symmetry**: P4/mmm, No. 123

***

No. 10
Density functional theory data (PBE) for crystalline K2AlMo at its relaxed geometry.

a = 4.786 Å, b = 4.786 Å, c = 10.016 Å
α = 87.78°, β = 87.78°, γ = 35.53°
Positions (direct):
K  0.754  0.754  0.668
K  0.989  0.989  0.085
Mo  0.513  0.513  0.410
Al  0.244  0.244  0.337

Results
**Energy**: -3.431 eV/atom
**Symmetry**: Cm, No. 8

***

No. 11
Density functional theory data (PBE) for crystalline Rb6BrCl5 at its relaxed geometry.

a = 8.259 Å, b = 8.259 Å, c = 8.266 Å
α = 99.62°, β = 99.62°, γ = 119.98°
Positions (direct):
Rb  0.257  0.257  0.743
Rb  0.571  0.915  0.745
Rb  0.085  0.429  0.255
Rb  0.743  0.743  0.257
Rb  0.429  0.085  0.255
Rb  0.915  0.571  0.745
Br  0.000  0.000  0.000
Cl  0.165  0.835  0.500
Cl  0.500  0.500  0.500
Cl  0.835  0.165  0.500
Cl  0.667  0.333  0.000
Cl  0.333  0.667  0.000

Results
**Symmetry**: C2/m, No. 12
**Formation energy without anion corrections**: -1910 meV per atom

***

No. 12
Density functional theory data (PBE) for crystalline CoAsPb2 at its relaxed geometry.

a = 4.901 Å, b = 4.901 Å, c = 3.757 Å
α = 90.02°, β = 90.02°, γ = 90.11°
Positions (direct):
Co  0.000  0.500  0.500
Pb  0.000  0.000  0.000
Pb  0.500  0.500  0.000
As  0.500  0.000  0.500

Results
**Energy**: -4.279 eV/atom
**Symmetry**: Cmmm, No. 65

***

no.,density (kg/m³)
1,11743
2,7494
3,6411
4,6105
5,11830
6,7554
7,11040
8,6490
9,5658
10,2507
11,2777
12,10089